ScCu4Si2 | PBE-GGA | relaxed

Cell: 7.114 7.114 3.847 Å, 90.00 90.00 90.00°
Atoms (fractional coordinates):
Sc1 0.000 0.000 0.000
Sc2 0.500 0.500 0.500
Cu1 0.092 0.343 0.500
Cu2 0.157 0.592 0.000
Cu3 0.343 0.092 0.500
Cu4 0.408 0.843 0.000
Cu5 0.592 0.157 0.000
Cu6 0.657 0.908 0.500
Cu7 0.843 0.408 0.000
Cu8 0.908 0.657 0.500
Si1 0.218 0.782 0.500
Si2 0.282 0.282 0.000
Si3 0.718 0.718 0.000
Si4 0.782 0.218 0.500

E above lowest polymorph = 0.0000 eV/atom
E_tot = -5.14 eV per atom